Record 1
# Cu3Si2Au2, relaxed, DFT PBE
# spin magnetization = 0.00 μB per formula unit
# raw formation energy = 94.3 meV/atom
data_Cu3Si2Au2
_chemical_formula_sum 'Cu6 Si4 Au4'
_cell_length_a 12.9042
_cell_length_b 2.8311
_cell_length_c 6.2656
_cell_angle_alpha 90.00
_cell_angle_beta 114.98
_cell_angle_gamma 90.00
_space_group_name_H-M_alt 'C 1 2/m 1'
_space_group_IT_number 12
_space_group_name_Hall '-C 2y'
loop_
_atom_site_label
_atom_site_fract_x
_atom_site_fract_y
_atom_site_fract_z
_atom_site_occupancy
Cu1 0.0000 0.0000 0.0000 1
Cu2 0.2176 0.0000 0.1419 1
Si1 0.0865 0.5000 0.8042 1
Au1 0.1284 0.0000 0.4750 1


Record 2
# Rh2PbW, relaxed, DFT PBE
# spin magnetization = 0.00 μB per formula unit
# ΔE_f = 79.5 kJ/mol of atoms
data_Rh2PbW
_chemical_formula_sum 'Rh8 Pb4 W4'
_cell_length_a 5.9426
_cell_length_b 5.9426
_cell_length_c 11.3278
_cell_angle_alpha 90.00
_cell_angle_beta 90.00
_cell_angle_gamma 90.00
_space_group_name_H-M_alt 'I -4 2 d'
_space_group_IT_number 122
_space_group_name_Hall 'I -4 2bw'
loop_
_atom_site_label
_atom_site_fract_x
_atom_site_fract_y
_atom_site_fract_z
_atom_site_occupancy
Rh1 0.2122 0.2500 0.1250 1
Pb1 0.0000 0.0000 0.5000 1
W1 0.0000 0.0000 0.0000 1


Record 3
# ReAg3B, relaxed, DFT PBE
# spin magnetization = 2.09 μB per formula unit
# energy above the most stable polymorph in this dataset = 1.221 eV/atom
# ΔE_f = 242.0 kJ/mol of atoms
data_ReAg3B
_chemical_formula_sum 'Re1 Ag3 B1'
_cell_length_a 5.1137
_cell_length_b 5.1137
_cell_length_c 5.1137
_cell_angle_alpha 90.00
_cell_angle_beta 90.00
_cell_angle_gamma 90.00
_space_group_name_H-M_alt 'P m -3 m'
_space_group_IT_number 221
_space_group_name_Hall '-P 4 2 3'
loop_
_atom_site_label
_atom_site_fract_x
_atom_site_fract_y
_atom_site_fract_z
_atom_site_occupancy
Re1 0.0000 0.0000 0.0000 1
Ag1 0.0000 0.0000 0.5000 1
B1 0.5000 0.5000 0.5000 1